Entry 1:
Compound: BaBe2Cl
Source: Alexandria via LeMat-Bulk
Functional: GGA-PBE
Structure: optimized geometry

Results
Its final energy is -2.9518 eV/atom. The uncorrected formation energy is -14 kJ per mole of atoms. The polymorph energy (0 for the lowest one) comes out at 30 meV/atom. The value obtained for the density of states at the Fermi level is 0.5 states/eV/f.u.

Geometry as POSCAR:
```
BaBe2Cl
1.0
-0.554 1.835 -3.972
-4.120 1.130 1.096
0.984 10.150 2.104
Be Cl Ba
4 2 2
direct
0.375 0.625 0.250
0.375 0.125 0.250
0.875 0.625 0.750
0.375 0.625 0.750
0.250 0.750 0.500
0.500 0.500 0.000
0.000 0.000 0.000
0.750 0.250 0.500
```

---

Entry 2:
Compound: Ba2BeCl2
Source: Alexandria via LeMat-Bulk
Functional: GGA-PBE
Structure: optimized geometry

Results
Its final energy is -3.1834 eV/atom. The uncorrected formation energy is -90 kJ per mole of atoms. The polymorph energy (0 for the lowest one) comes out at 0 meV/atom. The value obtained for the density of states at the Fermi level is 3.3 states/eV/f.u.

Geometry as POSCAR:
```
Ba2BeCl2
1.0
-0.413 -8.779 -1.038
2.725 0.862 -8.375
3.728 -0.315 1.181
Cl Be Ba
4 2 4
direct
0.124 0.376 0.000
0.624 0.124 0.000
0.376 0.876 0.000
0.876 0.624 0.000
0.000 0.000 0.000
0.500 0.500 0.000
0.680 0.820 0.500
0.320 0.180 0.500
0.180 0.680 0.500
0.820 0.320 0.500
```

---

Entry 3:
Compound: BaBeCl2
Source: Alexandria via LeMat-Bulk
Functional: GGA-PBE
Structure: optimized geometry

Results
Its final energy is -3.0423 eV/atom. The uncorrected formation energy is -68 kJ per mole of atoms. The polymorph energy (0 for the lowest one) comes out at 390 meV/atom. The value obtained for the density of states at the Fermi level is 0.0 states/eV/f.u.

Geometry as POSCAR:
```
BaBeCl2
1.0
-4.382 -3.077 -0.322
-1.119 -3.491 3.916
-4.149 0.890 3.282
Be Ba Cl
1 1 2
direct
0.750 0.750 0.750
0.500 0.500 0.500
0.000 0.000 0.000
0.250 0.250 0.250
```

---

Entry 4:
Compound: BaBeCl4
Source: Alexandria via LeMat-Bulk
Functional: GGA-PBE
Structure: optimized geometry

Results
Its final energy is -2.4230 eV/atom. The uncorrected formation energy is -24 kJ per mole of atoms. The polymorph energy (0 for the lowest one) comes out at 1747 meV/atom. The value obtained for the density of states at the Fermi level is 4.4 states/eV/f.u.

Geometry as POSCAR:
```
BaBeCl4
1.0
-4.859 -3.674 -0.638
-5.144 1.156 3.116
-4.983 1.997 -2.948
Cl Be Ba
4 1 1
direct
0.374 0.877 0.374
0.877 0.374 0.374
0.374 0.374 0.374
0.374 0.374 0.877
0.000 0.000 0.000
0.750 0.750 0.750
```

---

Entry 5:
Compound: BaBeCl2
Source: Alexandria via LeMat-Bulk
Functional: GGA-PBE
Structure: optimized geometry

Results
Its final energy is -2.9360 eV/atom. The uncorrected formation energy is -58 kJ per mole of atoms. The polymorph energy (0 for the lowest one) comes out at 496 meV/atom. The value obtained for the density of states at the Fermi level is 2.5 states/eV/f.u.

Geometry as POSCAR:
```
BaBeCl2
1.0
6.088 0.000 0.000
0.000 6.088 0.000
3.044 3.044 6.454
Ba Cl Be
2 4 2
direct
0.000 0.000 0.000
0.750 0.250 0.500
0.875 0.737 0.750
0.487 0.125 0.250
0.375 0.513 0.750
0.263 0.625 0.250
0.250 0.750 0.500
0.500 0.500 0.000
```

---

Entry 6:
Compound: BaBe2Cl
Source: Alexandria via LeMat-Bulk
Functional: GGA-PBE
Structure: optimized geometry

Results
Its final energy is -2.1539 eV/atom. The uncorrected formation energy is 63 kJ per mole of atoms. The polymorph energy (0 for the lowest one) comes out at 828 meV/atom. The value obtained for the density of states at the Fermi level is 2.8 states/eV/f.u.

Geometry as POSCAR:
```
BaBe2Cl
1.0
0.000 3.709 3.709
3.709 0.000 3.709
3.709 3.709 0.000
Cl Be Ba
1 2 1
direct
0.000 0.000 0.000
0.250 0.250 0.250
0.750 0.750 0.750
0.500 0.500 0.500
```

---

Entry 7:
Compound: BaBeCl2
Source: Alexandria via LeMat-Bulk
Functional: GGA-PBE
Structure: optimized geometry

Results
Its final energy is -3.2983 eV/atom. The uncorrected formation energy is -93 kJ per mole of atoms. The polymorph energy (0 for the lowest one) comes out at 134 meV/atom. The value obtained for the density of states at the Fermi level is 0.0 states/eV/f.u.

Geometry as POSCAR:
```
BaBeCl2
1.0
0.000 3.803 3.803
3.803 0.000 3.803
3.803 3.803 0.000
Cl Be Ba
2 1 1
direct
0.250 0.250 0.250
0.750 0.750 0.750
0.000 0.000 0.000
0.500 0.500 0.500
```

---

Entry 8:
Compound: BaBeCl2
Source: Alexandria via LeMat-Bulk
Functional: GGA-PBE
Structure: optimized geometry

Results
Its final energy is -3.2948 eV/atom. The uncorrected formation energy is -93 kJ per mole of atoms. The polymorph energy (0 for the lowest one) comes out at 137 meV/atom.

Geometry as POSCAR:
```
BaBeCl2
1.0
4.305 0.011 0.000
-0.012 4.305 0.000
0.000 0.000 6.000
Cl Ba Be
2 1 1
direct
0.000 0.000 0.958
0.500 0.500 0.206
0.000 0.000 0.474
0.500 0.500 0.862
```

---

Entry 9:
Compound: BaBe3Cl
Source: Alexandria via LeMat-Bulk
Functional: GGA-PBE
Structure: optimized geometry

Results
Its final energy is -1.8548 eV/atom. The uncorrected formation energy is 109 kJ per mole of atoms. The polymorph energy (0 for the lowest one) comes out at 0 meV/atom. The value obtained for the density of states at the Fermi level is 6.1 states/eV/f.u.

Geometry as POSCAR:
```
BaBe3Cl
1.0
4.959 0.000 0.000
0.000 4.959 0.000
0.000 0.000 4.959
Ba Be Cl
1 3 1
direct
0.500 0.500 0.500
0.000 0.000 0.500
0.500 0.000 0.000
0.000 0.500 0.000
0.000 0.000 0.000
```

---

Entry 10:
Compound: BaBe2Cl
Source: Alexandria via LeMat-Bulk
Functional: GGA-PBE
Structure: optimized geometry

Results
Its final energy is -2.4020 eV/atom. The uncorrected formation energy is 39 kJ per mole of atoms. The polymorph energy (0 for the lowest one) comes out at 580 meV/atom. The value obtained for the density of states at the Fermi level is 1.8 states/eV/f.u.

Geometry as POSCAR:
```
BaBe2Cl
1.0
4.498 0.000 0.000
0.000 4.500 0.000
0.000 0.000 5.836
Be Cl Ba
2 1 1
direct
0.000 0.000 0.063
0.000 0.000 0.437
0.500 0.500 0.250
0.500 0.500 0.750
```

---

Entry 11:
Compound: BaBe2Cl
Source: Alexandria via LeMat-Bulk
Functional: GGA-PBE
Structure: optimized geometry

Results
Its final energy is -2.8243 eV/atom. The uncorrected formation energy is -2 kJ per mole of atoms. The polymorph energy (0 for the lowest one) comes out at 157 meV/atom. The value obtained for the density of states at the Fermi level is 2.8 states/eV/f.u.

Geometry as POSCAR:
```
BaBe2Cl
1.0
5.383 -0.016 0.012
-0.056 5.383 -0.012
-1.645 -3.694 3.555
Be Ba Cl
2 1 1
direct
0.153 0.153 0.000
0.149 0.649 0.500
0.755 0.255 0.500
0.442 0.442 0.000
```

---

Entry 12:
Compound: BaBeCo2Cl
Source: Alexandria via LeMat-Bulk
Functional: GGA-PBE
Structure: optimized geometry

Results
Its final energy is -2.7176 eV/atom. The uncorrected formation energy is 157 kJ per mole of atoms. The value obtained for the density of states at the Fermi level is 9.6 states/eV/f.u.

Geometry as POSCAR:
```
BaBeCo2Cl
1.0
-1.436 2.714 -5.277
-4.630 -3.454 -0.516
-3.384 4.085 3.023
Co Ba Cl Be
2 1 1 1
direct
0.500 0.000 0.000
0.000 0.000 0.500
0.000 0.000 0.000
0.000 0.500 0.000
0.500 0.500 0.500
```

---

Entry 13:
Compound: BaBeCu2Cl
Source: Alexandria via LeMat-Bulk
Functional: GGA-PBE
Structure: optimized geometry

Results
Its final energy is -3.4148 eV/atom. The uncorrected formation energy is -27 kJ per mole of atoms. The value obtained for the density of states at the Fermi level is 1.9 states/eV/f.u.

Geometry as POSCAR:
```
BaBeCu2Cl
1.0
-2.828 -1.028 -3.190
-2.801 -3.380 3.573
-2.554 3.364 1.180
Cu Ba Be Cl
2 1 1 1
direct
0.500 0.000 0.000
0.000 0.000 0.500
0.500 0.500 0.500
0.000 0.000 0.000
0.000 0.500 0.000
```

---

no.,total moment (μB/atom),calculated density (g cm⁻³)
1,0.000,3.3
2,0.000,3.8
3,0.000,3.3
4,0.339,2.9
5,0.252,3.0
6,0.000,3.1
7,0.000,3.3
8,0.000,3.2
9,0.000,2.7
10,0.000,2.7
11,0.000,3.1
12,0.980,2.3
13,0.000,4.7